Entry 1:
The following is a GGA-PBE calculation of an optimized crystal structure of Na2YAgSb2, from Alexandria.

a = 4.5319 Å, b = 9.1566 Å, c = 7.6320 Å
α = 90.00°, β = 90.00°, γ = 90.00°
Last column: nearest neighbours and their distance in Å.
Space group Pmc2_1 (No. 26)
Unique sites:
Na1 0.0000 0.0695 0.0000 x2  5 Sb 3.22-3.54, 4 Na 3.42-3.43
Na2 0.5000 0.1658 0.3172 x2  4 Sb 3.09-3.12, 2 Ag 3.40, 4 Na 3.42-3.43
Y1 0.5000 0.4465 0.9282 x2  5 Sb 3.03-3.20, 2 Ag 3.38
Ag1 0.0000 0.3175 0.5950 x2  4 Sb 2.84-2.97
Sb1 0.0000 0.3838 0.2136 x2  2 Ag 2.88-2.97, 2 Na 3.12, 4 Y 3.20
Sb2 0.5000 0.1638 0.7215 x2  2 Ag 2.84, 1 Y 3.03, 2 Na 3.09-3.10

Values from the calculation:
- Formation energy from raw total energies: -595.7 meV/atom

***

Entry 2:
The following is a GGA-PBE calculation of an optimized crystal structure of NaZnAgSb, from Alexandria.

a = 7.0048 Å, b = 7.0048 Å, c = 7.0048 Å
α = 90.00°, β = 90.00°, γ = 90.00°
Last column: nearest neighbours and their distance in Å.
Space group F-43m (No. 216)
Unique sites:
Na1 0.0000 0.0000 0.0000 x4  4 Zn 3.03, 4 Ag 3.03
Zn1 0.2500 0.2500 0.7500 x4  4 Na 3.03, 4 Sb 3.03
Ag1 0.2500 0.2500 0.2500 x4  4 Na 3.03, 4 Sb 3.03
Sb1 0.0000 0.0000 0.5000 x4  4 Ag 3.03, 4 Zn 3.03

Values from the calculation:
- Formation energy from raw total energies: -25.7 meV/atom

***

Entry 3:
The following is a GGA-PBE calculation of an optimized crystal structure of NaZnAgSb2, from Alexandria.

a = 4.6215 Å, b = 4.6215 Å, c = 12.2392 Å
α = 90.00°, β = 90.00°, γ = 90.00°
Last column: nearest neighbours and their distance in Å.
Space group I-4m2 (No. 119)
Unique sites:
Na1 0.0000 0.0000 0.0000 x2  8 Sb 3.58, 4 Zn 3.83, 4 Ag 3.83
Zn1 0.0000 0.5000 0.2500 x2  4 Sb 2.81
Ag1 0.0000 0.5000 0.7500 x2  4 Sb 2.81
Sb1 0.0000 0.0000 0.3799 x4  2 Zn 2.81, 2 Ag 2.81, 1 Sb 2.94

Values from the calculation:
- Formation energy from raw total energies: -93.5 meV/atom

***

Entry 4:
The following is a GGA-PBE calculation of an optimized crystal structure of Na3ScAg, from Alexandria.

a = 5.5092 Å, b = 5.5092 Å, c = 5.5092 Å
α = 90.00°, β = 90.00°, γ = 90.00°
Last column: nearest neighbours and their distance in Å.
Space group Pm-3m (No. 221)
Unique sites:
Na1 0.0000 0.0000 0.5000 x3  2 Ag 2.75
Sc1 0.5000 0.5000 0.5000 x1  12 Na 3.90
Ag1 0.0000 0.0000 0.0000 x1  6 Na 2.75

Values from the calculation:
- Formation enthalpy at 0 K: 538.4 meV/atom

***

Entry 5:
The following is a GGA-PBE calculation of an optimized crystal structure of Na3ScAg, from Alexandria.

a = 6.1875 Å, b = 6.1875 Å, c = 6.1875 Å
α = 90.00°, β = 90.00°, γ = 90.00°
Last column: nearest neighbours and their distance in Å.
Space group Pm-3m (No. 221)
Unique sites:
Na1 0.0000 0.0000 0.5000 x3  2 Sc 3.09
Sc1 0.0000 0.0000 0.0000 x1  6 Na 3.09
Ag1 0.5000 0.5000 0.5000 x1  12 Na 4.38

Values from the calculation:
- Formation enthalpy at 0 K: 1020.4 meV/atom

***

Entry 6:
The following is a GGA-PBE calculation of an optimized crystal structure of NaScAg3, from Alexandria.

a = 5.3022 Å, b = 5.3022 Å, c = 5.3022 Å
α = 90.00°, β = 90.00°, γ = 90.00°
Last column: nearest neighbours and their distance in Å.
Space group Pm-3m (No. 221)
Unique sites:
Na1 0.0000 0.0000 0.0000 x1  12 Ag 3.75
Sc1 0.5000 0.5000 0.5000 x1  6 Ag 2.65
Ag1 0.0000 0.5000 0.5000 x3  2 Sc 2.65

Values from the calculation:
- Formation enthalpy at 0 K: 532.5 meV/atom

***

Entry 7:
The following is a GGA-PBE calculation of an optimized crystal structure of NaScAg2, from Alexandria.

a = 6.9129 Å, b = 6.9129 Å, c = 6.9129 Å
α = 90.00°, β = 90.00°, γ = 90.00°
Last column: nearest neighbours and their distance in Å.
Space group Fm-3m (No. 225)
Unique sites:
Na1 0.0000 0.0000 0.0000 x4  8 Ag 2.99
Sc1 0.0000 0.0000 0.5000 x4  8 Ag 2.99
Ag1 0.2500 0.2500 0.2500 x8  4 Sc 2.99, 4 Na 2.99

Values from the calculation:
- Formation enthalpy at 0 K: -30.6 meV/atom

***

Entry 8:
The following is a GGA-PBE calculation of an optimized crystal structure of NaScAg2, from Alexandria.

a = 7.7415 Å, b = 7.7415 Å, c = 5.9635 Å
α = 90.00°, β = 90.00°, γ = 90.00°
Last column: nearest neighbours and their distance in Å.
Space group I-42d (No. 122)
Unique sites:
Na1 0.0000 0.0000 0.0000 x4  4 Ag 2.87, 2 Sc 2.98
Sc1 0.0000 0.0000 0.5000 x4  4 Ag 2.81, 2 Na 2.98
Ag1 0.2443 0.2500 0.6250 x8  2 Sc 2.81, 2 Na 2.87, 2 Ag 2.98

Values from the calculation:
- Formation enthalpy at 0 K: 235.8 meV/atom